Below is a relaxed CaLaCrSbO6 crystal, with properties calculated at the PBE+U level.

Output
final energy = -144.22 eV per cell
calculated volume = 13.23 A^3/atom

The structure in CIF format:
```
data_CaLaCrSbO6
_cell_length_a 5.711
_cell_length_b 5.913
_cell_length_c 7.858
_cell_angle_alpha 90.25
_cell_angle_beta 90.02
_cell_angle_gamma 94.61
_space_group_name_H-M_alt 'P 1'
_space_group_IT_number 1
loop_
_space_group_symop_operation_xyz
'x,y,z'
loop_
_atom_site_label
_atom_site_type_symbol
_atom_site_fract_x
_atom_site_fract_y
_atom_site_fract_z
Ca1 Ca 0.000 0.000 0.000
Ca2 Ca 0.480 0.392 0.500
La1 La 0.515 0.502 0.001
La2 La 0.996 0.893 0.498
Cr1 Cr 0.495 0.950 0.751
Cr2 Cr 0.999 0.442 0.252
Sb1 Sb 0.496 0.952 0.249
Sb2 Sb 0.998 0.444 0.750
O1 O 0.097 0.402 0.996
O2 O 0.167 0.171 0.694
O3 O 0.216 0.125 0.296
O4 O 0.301 0.636 0.701
O5 O 0.307 0.652 0.302
O6 O 0.395 0.911 0.004
O7 O 0.593 0.989 0.497
O8 O 0.682 0.252 0.203
O9 O 0.696 0.254 0.800
O10 O 0.777 0.781 0.202
O11 O 0.832 0.722 0.809
O12 O 0.893 0.485 0.505
```